No. 1
Here is an optimized crystal structure of Ca2Ti2O5 from Alexandria. Energies are from PBE.

```
Ca2Ti2O5
1.0
-2.598 5.145 6.237
-4.543 -2.532 6.712
6.954 -1.894 -4.490
O Ca Ti
10 4 4
direct
0.079 0.171 0.972 O
0.741 0.746 0.510 O
0.259 0.770 0.005 O
0.652 0.358 0.511 O
0.735 0.246 0.005 O
0.265 0.270 0.510 O
0.301 0.393 0.972 O
0.699 0.671 0.092 O
0.921 0.893 0.092 O
0.348 0.858 0.706 O
0.642 0.104 0.532 Ca
0.072 0.604 0.463 Ca
0.358 0.891 0.463 Ca
0.928 0.391 0.532 Ca
0.500 0.510 0.010 Ti
0.667 0.721 0.888 Ti
0.333 0.221 0.054 Ti
0.000 0.010 0.010 Ti
```

- Total magnetization: 1.84 μB per formula unit
- Symmetry: Ima2
- Fermi-level density of states: 3.1 states/eV/f.u.
- Energy relative to the elements, uncorrected: -25.80 eV per formula unit
- VASP energy: -140.8 eV per cell


No. 2
Here is an optimized crystal structure of Ba2CuSi from Alexandria. Energies are from PBE.

```
Ba2CuSi
1.0
5.453 0.000 0.000
2.726 4.722 0.000
2.726 1.574 4.452
Cu Ba Si
1 2 1
direct
0.500 0.500 0.500 Cu
0.000 0.000 0.000 Ba
0.250 0.250 0.250 Ba
0.750 0.750 0.750 Si
```

- Total magnetization: 0.00 μB per formula unit
- Symmetry: F-43m
- Fermi-level density of states: 3.1 states/eV/f.u.
- Energy relative to the elements, uncorrected: 0.98 eV per formula unit
- VASP energy: -12.4 eV per cell


No. 3
Here is an optimized crystal structure of Li2Ti2O5 from Alexandria. Energies are from PBE.

```
Li2Ti2O5
1.0
3.321 0.000 0.997
0.002 5.449 -0.006
-0.139 -0.315 6.487
O Li Ti
5 2 2
direct
0.160 0.601 0.680 O
0.324 0.939 0.353 O
0.676 0.061 0.647 O
0.840 0.399 0.320 O
0.000 0.000 0.000 O
0.328 0.568 0.343 Li
0.672 0.432 0.657 Li
0.855 0.076 0.289 Ti
0.145 0.924 0.711 Ti
```

- Total magnetization: 0.00 μB per formula unit
- Symmetry: C2/m
- Fermi-level density of states: 0.0 states/eV/f.u.
- Energy relative to the elements, uncorrected: -24.57 eV per formula unit
- VASP energy: -69.0 eV per cell


No. 4
Here is an optimized crystal structure of Nd3Fe2Si4 from Alexandria. Energies are from PBE.

```
Nd3Fe2Si4
1.0
-1.875 3.615 0.506
-3.899 -4.403 0.367
3.294 0.684 7.315
Nd Si Fe
3 4 2
direct
0.000 0.000 0.000 Nd
0.610 0.221 0.692 Nd
0.390 0.779 0.308 Nd
0.279 0.559 0.917 Si
0.721 0.441 0.083 Si
0.879 0.758 0.599 Si
0.121 0.242 0.401 Si
0.696 0.392 0.362 Fe
0.304 0.608 0.638 Fe
```

- Total magnetization: 0.00 μB per formula unit
- Symmetry: C2/m
- Fermi-level density of states: 7.3 states/eV/f.u.
- Energy relative to the elements, uncorrected: -5.45 eV per formula unit
- VASP energy: -58.4 eV per cell


No. 5
Here is an optimized crystal structure of Mg5AlPb4 from Alexandria. Energies are from PBE.

```
Mg5AlPb4
1.0
-0.850 -0.038 -3.364
2.983 -1.613 -0.736
-9.319 -18.404 2.561
Pb Mg Al
4 5 1
direct
0.000 0.000 0.396 Pb
0.000 0.000 0.812 Pb
0.000 0.000 0.604 Pb
0.000 0.000 0.188 Pb
0.500 0.500 0.293 Mg
0.500 0.500 0.082 Mg
0.500 0.500 0.918 Mg
0.500 0.500 0.707 Mg
0.500 0.500 0.500 Mg
0.000 0.000 0.000 Al
```

- Total magnetization: 0.00 μB per formula unit
- Symmetry: P4/mmm
- Fermi-level density of states: 2.7 states/eV/f.u.
- VASP energy: -26.8 eV per cell
- Formation energy: -0.028 eV per atom


No. 6
Here is an optimized crystal structure of Tb2TaBRh6 from Alexandria. Energies are from PBE.

```
Tb2TaBRh6
1.0
5.788 0.019 -0.020
-0.016 6.889 -0.779
2.897 2.914 4.076
Rh B Tb Ta
6 1 2 1
direct
0.267 0.311 0.469 Rh
0.220 0.688 0.045 Rh
0.780 0.312 0.955 Rh
0.734 0.689 0.044 Rh
0.266 0.311 0.956 Rh
0.733 0.689 0.531 Rh
0.500 0.500 0.000 B
0.724 0.172 0.553 Tb
0.276 0.828 0.447 Tb
0.000 0.000 0.000 Ta
```

- Total magnetization: 0.00 μB per formula unit
- Symmetry: C2/m
- Fermi-level density of states: 7.4 states/eV/f.u.
- VASP energy: -77.3 eV per cell
- Formation energy: -0.536 eV per atom